No. 1
# Pr3Se2S2 | the Alexandria database | PBE | optimized geometry
data_Pr3Se2S2
_chemical_formula_sum 'Pr6 Se4 S4'
_cell_length_a 13.678
_cell_length_b 4.158
_cell_length_c 7.441
_cell_angle_alpha 90.00
_cell_angle_beta 100.50
_cell_angle_gamma 90.00
_space_group_name_H-M_alt 'C 1 2/m 1'
_space_group_IT_number 12
loop_
_space_group_symop_operation_xyz
'x,y,z'
'-x,-y,-z'
'-x,y,-z'
'x,-y,z'
'x+1/2,y+1/2,z'
'-x+1/2,-y+1/2,-z'
'-x+1/2,y+1/2,-z'
'x+1/2,-y+1/2,z'
loop_
_atom_site_label
_atom_site_type_symbol
_atom_site_fract_x
_atom_site_fract_y
_atom_site_fract_z
Pr1 Pr 0.000 0.000 0.000
Pr2 Pr 0.238 0.000 0.746
Se1 Se 0.128 0.000 0.366
S1 S 0.128 0.500 0.896
# Total DFT energy (no corrections): -0.4537 Ry/atom

No. 2
# CsC2 | the Alexandria database | PBE | optimized geometry
data_CsC2
_chemical_formula_sum 'Cs1 C2'
_cell_length_a 2.9575
_cell_length_b 2.9575
_cell_length_c 5.5210
_cell_angle_alpha 90.00
_cell_angle_beta 90.00
_cell_angle_gamma 120.00
_space_group_name_H-M_alt 'P 6/m m m'
_space_group_IT_number 191
_space_group_name_Hall '-P 6 2'
loop_
_atom_site_label
_atom_site_type_symbol
_atom_site_fract_x
_atom_site_fract_y
_atom_site_fract_z
Cs1 Cs 0.0000 0.0000 0.0000
C1 C 0.3333 0.6667 0.5000
# Energy of formation from the pure elements: 1.72 eV per atom

No. 3
# PmHfTiIr2 | the Alexandria database | PBE | optimized geometry
data_PmHfTiIr2
_chemical_formula_sum 'Pm2 Hf2 Ti2 Ir4'
_cell_length_a 4.376
_cell_length_b 4.376
_cell_length_c 10.982
_cell_angle_alpha 90.00
_cell_angle_beta 90.00
_cell_angle_gamma 90.00
_space_group_name_H-M_alt 'I -4 m 2'
_space_group_IT_number 119
_space_group_name_Hall 'I -4 -2'
loop_
_atom_site_label
_atom_site_type_symbol
_atom_site_fract_x
_atom_site_fract_y
_atom_site_fract_z
Pm1 Pm 0.000 0.000 0.000
Hf1 Hf 0.000 0.500 0.250
Ti1 Ti 0.000 0.500 0.750
Ir1 Ir 0.000 0.000 0.381
# Energy of formation from the pure elements: -0.80 eV per atom

No. 4
# PrGdScCu | the Alexandria database | PBE | optimized geometry
data_PrGdScCu
_chemical_formula_sum 'Pr4 Gd4 Sc4 Cu4'
_cell_length_a 7.434
_cell_length_b 7.434
_cell_length_c 7.434
_cell_angle_alpha 90.00
_cell_angle_beta 90.00
_cell_angle_gamma 90.00
_space_group_name_H-M_alt 'F -4 3 m'
_space_group_IT_number 216
_space_group_name_Hall 'F -4 2 3'
loop_
_atom_site_label
_atom_site_type_symbol
_atom_site_fract_x
_atom_site_fract_y
_atom_site_fract_z
Pr1 Pr 0.000 0.000 0.000
Gd1 Gd 0.000 0.000 0.500
Sc1 Sc 0.250 0.250 0.250
Cu1 Cu 0.250 0.250 0.750
# Energy of formation from the pure elements: 0.14 eV per atom

No. 5
# DyCu2Ni | the Alexandria database | PBE | optimized geometry
data_DyCu2Ni
_chemical_formula_sum 'Dy4 Cu8 Ni4'
_cell_length_a 4.036
_cell_length_b 9.273
_cell_length_c 6.745
_cell_angle_alpha 90.00
_cell_angle_beta 90.00
_cell_angle_gamma 90.00
_space_group_name_H-M_alt 'C m c m'
_space_group_IT_number 63
_space_group_name_Hall '-C 2c 2'
loop_
_atom_site_label
_atom_site_type_symbol
_atom_site_fract_x
_atom_site_fract_y
_atom_site_fract_z
Dy1 Dy 0.000 0.076 0.250
Cu1 Cu 0.000 0.363 0.060
Ni1 Ni 0.000 0.213 0.750
# Energy of formation from the pure elements: -0.27 eV per atom

No. 6
# LaPr3Sm5 | the Alexandria database | PBE | optimized geometry
data_LaPr3Sm5
_chemical_formula_sum 'La4 Pr12 Sm20'
_cell_length_a 15.029
_cell_length_b 8.553
_cell_length_c 11.624
_cell_angle_alpha 90.00
_cell_angle_beta 112.94
_cell_angle_gamma 90.00
_space_group_name_H-M_alt 'C 1 2/m 1'
_space_group_IT_number 12
loop_
_space_group_symop_operation_xyz
'x,y,z'
'-x,-y,-z'
'-x,y,-z'
'x,-y,z'
'x+1/2,y+1/2,z'
'-x+1/2,-y+1/2,-z'
'-x+1/2,y+1/2,-z'
'x+1/2,-y+1/2,z'
loop_
_atom_site_label
_atom_site_type_symbol
_atom_site_fract_x
_atom_site_fract_y
_atom_site_fract_z
La1 La 0.233 0.000 0.324
Pr1 Pr 0.000 0.000 0.000
Pr2 Pr 0.000 0.500 0.500
Pr3 Pr 0.014 0.000 0.274
Pr4 Pr 0.127 0.500 0.302
Sm1 Sm 0.000 0.329 0.000
Sm2 Sm 0.117 0.308 0.787
Sm3 Sm 0.130 0.000 0.571
Sm4 Sm 0.248 0.000 0.937
# Energy of formation from the pure elements: 0.45 eV per atom

No. 7
# AcTb2AgS5 | the Alexandria database | PBE | optimized geometry
data_AcTb2AgS5
_chemical_formula_sum 'Ac4 Tb8 Ag4 S20'
_cell_length_a 7.617
_cell_length_b 7.617
_cell_length_c 13.908
_cell_angle_alpha 90.00
_cell_angle_beta 90.00
_cell_angle_gamma 90.00
_space_group_name_H-M_alt 'I 4/m c m'
_space_group_IT_number 140
_space_group_name_Hall '-I 4 2c'
loop_
_atom_site_label
_atom_site_type_symbol
_atom_site_fract_x
_atom_site_fract_y
_atom_site_fract_z
Ac1 Ac 0.000 0.000 0.250
Tb1 Tb 0.158 0.342 0.000
Ag1 Ag 0.000 0.500 0.250
S1 S 0.000 0.000 0.000
S2 S 0.166 0.334 0.368
# Total DFT energy (no corrections): -0.4242 Ry/atom

No. 8
# Na3Np2VSe6 | the Alexandria database | PBE | optimized geometry
data_Na3Np2VSe6
_chemical_formula_sum 'Na6 Np4 V2 Se12'
_cell_length_a 6.976
_cell_length_b 12.093
_cell_length_c 7.398
_cell_angle_alpha 90.00
_cell_angle_beta 108.42
_cell_angle_gamma 90.00
_space_group_name_H-M_alt 'C 1 2/m 1'
_space_group_IT_number 12
loop_
_space_group_symop_operation_xyz
'x,y,z'
'-x,-y,-z'
'-x,y,-z'
'x,-y,z'
'x+1/2,y+1/2,z'
'-x+1/2,-y+1/2,-z'
'-x+1/2,y+1/2,-z'
'x+1/2,-y+1/2,z'
loop_
_atom_site_label
_atom_site_type_symbol
_atom_site_fract_x
_atom_site_fract_y
_atom_site_fract_z
Na1 Na 0.000 0.000 0.000
Na2 Na 0.000 0.330 0.000
Np1 Np 0.000 0.166 0.500
V1 V 0.000 0.500 0.500
Se1 Se 0.232 0.343 0.724
Se2 Se 0.239 0.500 0.277
# Total DFT energy (no corrections): -0.4470 Ry/atom